Entry 1:
VASP calculation (GGA-PBE) on crystalline TbPa3P4 at its relaxed geometry.

Lattice parameters (Å, degrees): 6.887 6.887 3.979 90.00 90.00 109.52
Fractional coordinates of all 8 atoms:
Tb 0.000 0.000 0.000
Pa 0.000 0.500 0.500
Pa 0.500 0.000 0.500
Pa 0.500 0.500 0.000
P 0.250 0.750 0.000
P 0.252 0.252 0.500
P 0.748 0.748 0.500
P 0.750 0.250 0.000

## Properties
* DOS at the Fermi energy: 7.4 states/eV/cell
* space group: Cmmm, No. 65
* density: 9.11 g cm⁻³
* energy relative to the elements: -1390 meV per atom
* magnetization: 0.000 μB per atom
* E_tot: -8.234 eV per atom

---

Entry 2:
VASP calculation (GGA-PBE) on crystalline Pa5As4N at its relaxed geometry.

Lattice parameters (Å, degrees): 6.880 6.880 6.880 99.81 99.81 131.23
Fractional coordinates of all 10 atoms:
Pa 0.000 0.000 0.000
Pa 0.232 0.594 0.826
Pa 0.406 0.232 0.637
Pa 0.594 0.768 0.363
Pa 0.768 0.406 0.174
As 0.087 0.308 0.395
As 0.308 0.913 0.221
As 0.692 0.087 0.779
As 0.913 0.692 0.605
N 0.500 0.500 0.000

## Properties
* DOS at the Fermi energy: 10.9 states/eV/cell
* space group: I4/m, No. 87
* density: 10.94 g cm⁻³
* magnetization: 0.000 μB per atom
* uncorrected formation energy: -1038 meV/atom
* E_tot: -8.479 eV per atom

---

Entry 3:
VASP calculation (GGA-PBE) on crystalline YMn2Hg at its relaxed geometry.

Lattice parameters (Å, degrees): 5.337 5.337 5.337 133.68 133.68 67.59
Fractional coordinates of all 4 atoms:
Y 0.000 0.000 0.000
Mn 0.250 0.750 0.500
Mn 0.500 0.500 0.000
Hg 0.750 0.250 0.500

## Properties
* DOS at the Fermi energy: 4.2 states/eV/cell
* space group: I-4m2, No. 119
* density: 8.49 g cm⁻³
* energy relative to the elements: 188 meV per atom
* magnetization: 1.619 μB per atom
* E_tot: -6.088 eV per atom

---

Entry 4:
VASP calculation (GGA-PBE) on crystalline GdMgPd2 at its relaxed geometry.

Lattice parameters (Å, degrees): 4.821 4.821 3.352 90.00 90.00 90.00
Fractional coordinates of all 4 atoms:
Gd 0.000 0.000 0.000
Mg 0.500 0.500 0.000
Pd 0.000 0.500 0.500
Pd 0.500 0.000 0.500

## Properties
* DOS at the Fermi energy: 2.1 states/eV/cell
* space group: P4/mmm, No. 123
* density: 8.41 g cm⁻³
* energy relative to the elements: -731 meV per atom
* magnetization: 1.793 μB per atom
* E_tot: -7.246 eV per atom

---

Entry 5:
VASP calculation (GGA-PBE) on crystalline CaCCl2 at its relaxed geometry.

Lattice parameters (Å, degrees): 7.863 7.863 7.863 31.63 31.63 31.63
Fractional coordinates of all 4 atoms:
Ca 0.000 0.000 0.000
C 0.500 0.500 0.500
Cl 0.391 0.391 0.391
Cl 0.609 0.609 0.609

## Properties
* DOS at the Fermi energy: 0.0 states/eV/cell
* space group: R-3m, No. 166
* density: 1.72 g cm⁻³
* magnetization: 0.500 μB per atom
* uncorrected formation energy: 67 meV/atom
* E_tot: -3.663 eV per atom
* E above lowest polymorph: 0.000 eV/atom

---

Entry 6:
VASP calculation (GGA-PBE) on crystalline Ac3Mg2Al at its relaxed geometry.

Lattice parameters (Å, degrees): 5.750 4.027 9.109 90.00 108.30 90.00
Fractional coordinates of all 6 atoms:
Ac 0.000 0.000 0.000
Ac 0.341 0.000 0.683
Ac 0.659 0.000 0.317
Mg 0.173 0.500 0.345
Mg 0.827 0.500 0.655
Al 0.500 0.500 0.000

## Properties
* DOS at the Fermi energy: 6.3 states/eV/cell
* space group: P2/m, No. 10
* density: 6.27 g cm⁻³
* energy relative to the elements: -129 meV per atom
* magnetization: 0.000 μB per atom
* E_tot: -3.339 eV per atom
* E above lowest polymorph: 0.000 eV/atom

---

Entry 7:
VASP calculation (GGA-PBE) on crystalline Ho5Ni2Sb at its relaxed geometry.

Lattice parameters (Å, degrees): 8.551 8.551 8.551 127.19 127.19 77.95
Fractional coordinates of all 16 atoms:
Ho 0.000 0.000 0.000
Ho 0.021 0.521 0.814
Ho 0.206 0.021 0.500
Ho 0.294 0.794 0.814
Ho 0.479 0.294 0.500
Ho 0.500 0.500 0.000
Ho 0.521 0.706 0.500
Ho 0.706 0.206 0.186
Ho 0.794 0.979 0.500
Ho 0.979 0.479 0.186
Ni 0.130 0.370 0.500
Ni 0.370 0.870 0.239
Ni 0.630 0.130 0.761
Ni 0.870 0.630 0.500
Sb 0.250 0.250 0.000
Sb 0.750 0.750 0.000

## Properties
* DOS at the Fermi energy: 14.4 states/eV/cell
* space group: I4/mcm, No. 140
* density: 9.19 g cm⁻³
* magnetization: 0.000 μB per atom
* uncorrected formation energy: -545 meV/atom
* E_tot: -5.367 eV per atom

---

Entry 8:
VASP calculation (GGA-PBE) on crystalline PuSN at its relaxed geometry.

Lattice parameters (Å, degrees): 5.065 5.065 5.065 139.98 139.98 57.88
Fractional coordinates of all 3 atoms:
Pu 0.000 0.000 0.000
S 0.332 0.332 0.000
N 0.536 0.536 0.000

## Properties
* DOS at the Fermi energy: 6.7 states/eV/cell
* space group: I4mm, No. 107
* density: 9.04 g cm⁻³
* magnetization: 1.662 μB per atom
* uncorrected formation energy: -702 meV/atom
* E_tot: -9.631 eV per atom
* E above lowest polymorph: 0.397 eV/atom